A geometry-optimized Pm16Nd7Ho6 structure. Source: Alexandria via LeMat-Bulk, functional PBE-GGA.

Cell and atoms, written as extended XYZ:
```
29
Lattice="9.835 0.000 5.678 3.278 9.272 5.678 0.000 0.000 11.356" Properties=species:S:1:pos:R:3 pbc="T T T"
Pm 9.835 3.500 17.034
Pm 6.578 8.106 17.034
Pm 11.463 8.106 14.214
Pm 1.650 1.167 8.499
Pm 11.463 8.106 19.855
Pm 8.532 6.033 14.779
Pm 8.532 6.033 7.934
Pm 4.581 3.239 7.934
Pm 2.605 6.033 11.356
Pm 6.535 1.167 5.678
Pm 1.650 1.167 2.858
Pm 6.557 8.828 11.356
Pm 4.581 3.239 14.779
Pm 6.557 0.444 11.356
Pm 10.508 3.239 11.356
Pm 3.278 5.773 5.678
Ho 8.105 2.446 8.674
Ho 3.459 2.446 11.356
Ho 8.105 2.446 14.039
Ho 5.008 6.826 8.674
Ho 5.008 6.826 14.039
Ho 9.654 6.826 11.356
Nd 0.000 0.000 0.000
Nd 6.557 4.636 5.678
Nd 4.917 0.000 8.517
Nd 4.917 0.000 2.839
Nd 0.000 0.000 5.678
Nd 1.639 4.636 2.839
Nd 1.639 4.636 8.517
```

Values from the calculation:
Space group ... Fm-3m, No. 225
E_tot ... -130.1 eV for the cell shown
Formation energy ... 0.233 eV/atom